NaIn3HgBi | PBE | relaxed

Geometry as POSCAR:
```
NaIn3HgBi
1.0
4.6702 0.0000 0.0000
0.0000 7.5202 -0.8849
0.0000 -2.8470 9.9287
Na In Hg Bi
2 6 2 2
direct
0.2500 0.1158 0.6420
0.7500 0.8842 0.3580
0.7500 0.8780 0.0338
0.2500 0.1220 0.9662
0.2500 0.6350 0.4416
0.7500 0.3650 0.5584
0.7500 0.3919 0.1917
0.2500 0.6081 0.8083
0.2500 0.6582 0.1340
0.7500 0.3418 0.8660
0.2500 0.1863 0.3198
0.7500 0.8137 0.6802
```

Output
ΔH_f (0 K), kJ per mole of atoms: -7.9
Total magnetic moment, μB/atom: 0.000